# GGA-PBE AgB2Pd6, optimized geometry
# SG   No. 15
# Calculated total energy   -5.388 eV/atom
# E_form   -0.13 eV/atom
data_AgB2Pd6
_chemical_formula_sum 'Ag2 B4 Pd12'
_cell_length_a 7.4775
_cell_length_b 7.4775
_cell_length_c 5.4527
_cell_angle_alpha 111.20
_cell_angle_beta 111.20
_cell_angle_gamma 74.88
_space_group_name_H-M_alt 'P 1'
_space_group_IT_number 1
loop_
_space_group_symop_operation_xyz
'x,y,z'
loop_
_atom_site_label
_atom_site_type_symbol
_atom_site_fract_x
_atom_site_fract_y
_atom_site_fract_z
Ag1 Ag 0.2492 0.7508 0.7500
Ag2 Ag 0.7508 0.2492 0.2500
B1 B 0.1747 0.3256 0.5902
B2 B 0.3256 0.1747 0.0902
B3 B 0.6744 0.8253 0.9098
B4 B 0.8253 0.6744 0.4098
Pd1 Pd 0.0461 0.4548 0.2599
Pd2 Pd 0.0659 0.1621 0.7489
Pd3 Pd 0.1621 0.0659 0.2489
Pd4 Pd 0.3382 0.4350 0.0177
Pd5 Pd 0.4350 0.3382 0.5177
Pd6 Pd 0.4548 0.0461 0.7599
Pd7 Pd 0.5452 0.9539 0.2401
Pd8 Pd 0.5650 0.6618 0.4823
Pd9 Pd 0.6618 0.5650 0.9823
Pd10 Pd 0.8379 0.9341 0.7511
Pd11 Pd 0.9341 0.8379 0.2511
Pd12 Pd 0.9539 0.5452 0.7401